Material: Ti2TcNi
Method: DFT, SCAN
State: single point on PBEsol structure

Its formation energy is -0.5586 eV per atom.

The structure in extended XYZ format:
```
4
Lattice="-3.141 -1.810 2.251 -2.747 -2.644 -1.915 0.118 -4.180 0.849" Properties=species:S:1:pos:R:3 pbc="T T T"
Ni 0.000 0.000 0.000
Tc -2.885 -4.317 0.593
Ti -1.443 -2.159 0.296
Ti -4.328 -6.476 0.889
```